Ca5Bi6Cl12O8 | Alexandria | GGA-PBE | optimized geometry; crystal system = orthorhombic; total magnetization = 0.00 μB per cell; DFT total energy = -152.5 eV/cell; SG = Immm, No. 71; uncorrected formation energy = -1.8498 eV per atom
1.0
-2.783 5.599 11.099
2.783 -5.599 11.099
2.783 5.599 -11.099
Ca Bi Cl O
5 6 12 8
Cartesian
0.000 0.000 0.000
2.783 0.000 4.248
2.783 3.015 0.000
0.000 2.585 11.099
0.000 5.599 6.852
2.783 -2.726 6.738
0.000 0.000 6.694
0.000 2.874 4.362
2.783 2.726 6.738
0.000 0.000 15.505
0.000 8.325 4.362
2.783 0.000 0.000
2.783 2.609 -2.714
0.000 0.000 2.756
0.000 2.684 0.000
2.783 2.609 2.714
2.783 0.000 8.181
0.000 0.000 11.099
0.000 5.599 2.918
0.000 2.990 8.385
0.000 8.514 0.000
0.000 0.000 19.443
0.000 2.990 13.814
1.427 4.171 -5.574
1.356 -1.429 5.526
1.427 7.028 -5.574
1.356 1.429 5.526
1.427 4.171 5.574
1.356 -1.429 16.673
1.427 7.028 5.574
1.356 1.429 16.673